# 1
TcRhW after structural relaxation. Source: the Alexandria database, functional PBE-GGA.

```
TcRhW
1.0
-1.181 4.101 1.149
-2.770 -3.374 0.694
1.067 -0.375 2.436
Rh Tc W
1 1 1
Direct
0.000 0.000 0.861
0.667 0.333 0.355
0.333 0.667 0.784
```

- Relative energy among the computed polymorphs: 32 meV per atom

=====

# 2
Tc2RhW after structural relaxation. Source: the Alexandria database, functional PBE-GGA.

```
Tc2RhW
1.0
-1.378 4.546 -0.432
-3.349 3.252 0.979
1.786 1.757 4.108
Rh Tc W
1 2 1
Direct
0.252 0.252 0.251
0.997 0.997 0.993
0.750 0.750 0.762
0.501 0.501 0.493
```

- Relative energy among the computed polymorphs: 65 meV per atom